Material: ZrCuI2N
Method: DFT, PBE
State: relaxed

Properties
- calculated density (Mg/m³) = 6.22
- relative energy among the computed polymorphs (meV/atom) = 551
- magnetization (μB per cell) = 1.99

Cell lengths 5.6085, 5.6085, 3.5868 Å; angles 90.00, 90.00, 90.00 degrees
Closest atoms and distances in Å follow each position.
Positions (direct):
I1 0.5000 0.0000 0.0000  2 Cu 2.80
I2 0.0000 0.5000 0.0000  2 Cu 2.80
Cu1 0.0000 0.0000 0.0000  2 N 1.79
N1 0.0000 0.0000 0.5000  2 Cu 1.79
Zr1 0.5000 0.5000 0.5000  8 I 3.33, 2 Zr 3.59